# MnCrPS2

A geometry-optimized MnCrPS2 structure (GGA-PBE, Alexandria via LeMat-Bulk).

Summary:
SG: P4/mmm (123)
Formation energy from raw total energies: 877 meV per atom
Total moment: 1.4 μB/cell
DFT total energy: -5.614 eV/atom
Distance to the lowest polymorph of the same formula: 2.38 eV/f.u.

abc: 4.453 4.453 4.481
angles: 90.00 90.00 90.00
Sites, in units of the cell vectors:
Mn 0.000 0.000 0.000
Cr 0.500 0.500 0.500
P 0.500 0.500 0.000
S 0.000 0.500 0.500
S 0.500 0.000 0.500